The following is a PBE-GGA calculation of a geometry-optimized K2ReSe structure, from the Alexandria database.

Summary:
The density is 3.21 g cm⁻³. The total energy comes out at -4.005 eV/atom.

a b c (Å): 12.3054 12.3054 4.6957
angles (deg): 90.00 90.00 90.00
Space group I-42d (No. 122)
Symmetry-distinct sites (fractional):
K (0.0665, 0.2500, 0.1250) x8
Re (0.0000, 0.0000, 0.5000) x4
Se (0.0000, 0.0000, 0.0000) x4



The following is a PBE-GGA calculation of a geometry-optimized K2ReSe structure, from the Alexandria database.

Summary:
The density is 4.97 g cm⁻³. The total energy comes out at -4.130 eV/atom.

a b c (Å): 3.3399 3.3399 10.2755
angles (deg): 90.00 90.00 90.00
Space group P4mm (No. 99)
Symmetry-distinct sites (fractional):
K (0.0000, 0.0000, 0.0000) x1
K (0.5000, 0.5000, 0.4122) x1
Re (0.0000, 0.0000, 0.6640) x1
Se (0.5000, 0.5000, 0.7599) x1



The following is a PBE-GGA calculation of a geometry-optimized K2ReSe structure, from the Alexandria database.

Summary:
The density is 5.66 g cm⁻³. The total energy comes out at -3.579 eV/atom.

a b c (Å): 4.3316 4.4234 10.5147
angles (deg): 90.00 90.00 90.00
Space group Immm (No. 71)
Symmetry-distinct sites (fractional):
K (0.0000, 0.0000, 0.2486) x4
Re (0.0000, 0.5000, 0.0000) x2
Se (0.0000, 0.5000, 0.5000) x2



The following is a PBE-GGA calculation of a geometry-optimized KRe2Se structure, from the Alexandria database.

Summary:
The density is 8.05 g cm⁻³. The total energy comes out at -6.434 eV/atom.

a b c (Å): 3.2793 6.0939 10.1251
angles (deg): 90.00 90.00 90.00
Space group Imm2 (No. 44)
Symmetry-distinct sites (fractional):
K (0.0000, 0.0000, 0.0000) x2
Re (0.0000, 0.0000, 0.4865) x2
Re (0.0000, 0.5000, 0.1536) x2
Se (0.0000, 0.5000, 0.7877) x2



| no. | volume (Å³ per cell) | magnetic moment (μB per cell) | N(E_F) (states/eV/atom) |
| --- | --- | --- | --- |
| 1 | 711.0 | 6.79 | 1.237 |
| 2 | 114.6 | 0.00 | 0.602 |
| 3 | 201.5 | 6.20 | 0.905 |
| 4 | 202.3 | 1.97 | 0.344 |